Computed, not measured: a relaxed TcSb2WF crystal at the GGA+U level of DFT.

a b c (Å): 5.040 5.207 5.040
angles (deg): 90.00 90.00 90.00
Fractional coordinates of all 5 atoms:
1 F 0.500 0.500 0.500
2 Sb 0.500 0.000 0.000
3 W 0.000 0.500 0.000
4 Tc 0.000 0.000 0.000
5 Sb 0.000 0.000 0.500

## Properties
Space-group type = P4/mmm (123)
Magnetization = 2.8 μB/f.u.
E_tot = -5.096 eV per atom